# Pr6HgRu2

An optimized crystal structure of Pr6HgRu2 (GGA-PBE, the Alexandria database).

Structure (POSCAR):
```
Pr6HgRu2
1.0
8.2648 -0.1105 -3.0150
-4.4348 7.2101 -2.3991
-0.0912 0.1105 8.7970
Pr Ru Hg
12 4 2
Direct
0.4668 0.2848 0.1821
0.3128 0.6404 0.3276
0.7989 0.7642 0.5631
0.2011 0.7642 0.9653
0.6872 0.0149 0.3276
0.8973 0.7152 0.1821
0.5332 0.7152 0.8179
0.1027 0.2848 0.8179
0.6872 0.3596 0.6724
0.7989 0.2358 0.0347
0.3128 0.9851 0.6724
0.2011 0.2358 0.4369
0.3285 0.0000 0.3285
0.5000 0.6237 0.1237
0.6715 0.0000 0.6715
0.5000 0.3763 0.8763
0.0000 0.5000 0.5000
0.0000 0.0000 0.0000
```

Output
Space group: Immm (71)
Volume, Å³ per atom: 29.0
E above lowest polymorph, meV/atom: 0
Spin magnetization, μB per atom: 0.00